No. 1
# NiTeW3 PBE-GGA relaxed
data_NiTeW3
_symmetry_space_group_name_H-M 'P m -3 m'
_symmetry_Int_Tables_number 221
_symmetry_space_group_name_Hall '-P 4 2 3'
_cell_length_a 4.845
_cell_length_b 4.845
_cell_length_c 4.845
_cell_angle_alpha 90.00
_cell_angle_beta 90.00
_cell_angle_gamma 90.00
loop_
_atom_site_label
_atom_site_type_symbol
_atom_site_fract_x
_atom_site_fract_y
_atom_site_fract_z
_atom_site_occupancy
Ni1 Ni 0.000 0.000 0.000 1
Te1 Te 0.500 0.500 0.500 1
W1 W 0.000 0.500 0.500 1
# Polymorph energy (0 for the lowest one) (kJ/mol of formula units): 596
# Magnetization (μB per cell): 0.0
# E (eV/atom): -6.72

No. 2
# NiTe2W2 PBE-GGA relaxed
data_NiTe2W2
_symmetry_space_group_name_H-M 'I 4/m m m'
_symmetry_Int_Tables_number 139
_symmetry_space_group_name_Hall '-I 4 2'
_cell_length_a 5.272
_cell_length_b 5.272
_cell_length_c 7.915
_cell_angle_alpha 90.00
_cell_angle_beta 90.00
_cell_angle_gamma 90.00
loop_
_atom_site_label
_atom_site_type_symbol
_atom_site_fract_x
_atom_site_fract_y
_atom_site_fract_z
_atom_site_occupancy
Ni1 Ni 0.000 0.000 0.000 1
Te1 Te 0.000 0.500 0.250 1
W1 W 0.000 0.000 0.356 1
# Polymorph energy (0 for the lowest one) (kJ/mol of formula units): 127
# Magnetization (μB per cell): 0.0
# E (eV/atom): -6.61

No. 3
# NiTe2W PBE-GGA relaxed
data_NiTe2W
_symmetry_space_group_name_H-M 'I m m m'
_symmetry_Int_Tables_number 71
_symmetry_space_group_name_Hall '-I 2 2'
_cell_length_a 3.961
_cell_length_b 4.857
_cell_length_c 7.821
_cell_angle_alpha 90.00
_cell_angle_beta 90.00
_cell_angle_gamma 90.00
loop_
_atom_site_label
_atom_site_type_symbol
_atom_site_fract_x
_atom_site_fract_y
_atom_site_fract_z
_atom_site_occupancy
Ni1 Ni 0.000 0.000 0.000 1
Te1 Te 0.000 0.500 0.289 1
W1 W 0.000 0.000 0.500 1
# Polymorph energy (0 for the lowest one) (kJ/mol of formula units): 237
# Magnetization (μB per cell): 0.0
# E (eV/atom): -5.63

No. 4
# NiTe2W2 PBE-GGA relaxed
data_NiTe2W2
_symmetry_space_group_name_H-M 'P 4/m b m'
_symmetry_Int_Tables_number 127
_symmetry_space_group_name_Hall '-P 4 2ab'
_cell_length_a 6.869
_cell_length_b 6.869
_cell_length_c 4.012
_cell_angle_alpha 90.00
_cell_angle_beta 90.00
_cell_angle_gamma 90.00
loop_
_atom_site_label
_atom_site_type_symbol
_atom_site_fract_x
_atom_site_fract_y
_atom_site_fract_z
_atom_site_occupancy
Ni1 Ni 0.000 0.000 0.000 1
Te1 Te 0.165 0.335 0.500 1
W1 W 0.134 0.634 0.000 1
# Polymorph energy (0 for the lowest one) (kJ/mol of formula units): 0
# Magnetization (μB per cell): 0.0
# E (eV/atom): -6.87

No. 5
# NiTe2W PBE-GGA relaxed
data_NiTe2W
_symmetry_space_group_name_H-M 'F -4 3 m'
_symmetry_Int_Tables_number 216
_symmetry_space_group_name_Hall 'F -4 2 3'
_cell_length_a 6.782
_cell_length_b 6.782
_cell_length_c 6.782
_cell_angle_alpha 90.00
_cell_angle_beta 90.00
_cell_angle_gamma 90.00
loop_
_atom_site_label
_atom_site_type_symbol
_atom_site_fract_x
_atom_site_fract_y
_atom_site_fract_z
_atom_site_occupancy
Ni1 Ni 0.000 0.000 0.000 1
Te1 Te 0.000 0.000 0.500 1
Te2 Te 0.250 0.250 0.750 1
W1 W 0.250 0.250 0.250 1
# Polymorph energy (0 for the lowest one) (kJ/mol of formula units): 419
# Magnetization (μB per cell): 0.0
# E (eV/atom): -5.16

No. 6
# NiTe2W PBE-GGA relaxed
data_NiTe2W
_symmetry_space_group_name_H-M 'I m m 2'
_symmetry_Int_Tables_number 44
_cell_length_a 3.565
_cell_length_b 3.606
_cell_length_c 14.792
_cell_angle_alpha 90.00
_cell_angle_beta 90.00
_cell_angle_gamma 90.00
loop_
_symmetry_equiv_pos_as_xyz
'x,y,z'
'-x,-y,z'
'-x,y,z'
'x,-y,z'
'x+1/2,y+1/2,z+1/2'
'-x+1/2,-y+1/2,z+1/2'
'-x+1/2,y+1/2,z+1/2'
'x+1/2,-y+1/2,z+1/2'
loop_
_atom_site_label
_atom_site_type_symbol
_atom_site_fract_x
_atom_site_fract_y
_atom_site_fract_z
_atom_site_occupancy
Ni1 Ni 0.000 0.000 0.000 1
Te1 Te 0.000 0.000 0.468 1
Te2 Te 0.000 0.500 0.709 1
W1 W 0.000 0.500 0.118 1
# Polymorph energy (0 for the lowest one) (kJ/mol of formula units): 86
# Magnetization (μB per cell): 0.0
# E (eV/atom): -6.03

No. 7
# NiTeW2 PBE-GGA relaxed
data_NiTeW2
_symmetry_space_group_name_H-M 'C 1 m 1'
_symmetry_Int_Tables_number 8
_cell_length_a 9.558
_cell_length_b 3.355
_cell_length_c 4.521
_cell_angle_alpha 90.00
_cell_angle_beta 117.78
_cell_angle_gamma 90.00
loop_
_symmetry_equiv_pos_as_xyz
'x,y,z'
'x,-y,z'
'x+1/2,y+1/2,z'
'x+1/2,-y+1/2,z'
loop_
_atom_site_label
_atom_site_type_symbol
_atom_site_fract_x
_atom_site_fract_y
_atom_site_fract_z
_atom_site_occupancy
Ni1 Ni 0.000 0.000 0.000 1
Te1 Te 0.225 0.500 0.228 1
W1 W 0.243 0.000 0.746 1
W2 W 0.488 0.000 0.492 1
# Magnetization (μB per cell): 0.0
# E (eV/atom): -8.15

No. 8
# NiTe2W PBE-GGA relaxed
data_NiTe2W
_symmetry_space_group_name_H-M 'P 4 m m'
_symmetry_Int_Tables_number 99
_cell_length_a 3.359
_cell_length_b 3.359
_cell_length_c 7.840
_cell_angle_alpha 90.00
_cell_angle_beta 90.00
_cell_angle_gamma 90.00
loop_
_symmetry_equiv_pos_as_xyz
'x,y,z'
'-y,x,z'
'-x,-y,z'
'y,-x,z'
'-x,y,z'
'y,x,z'
'x,-y,z'
'-y,-x,z'
loop_
_atom_site_label
_atom_site_type_symbol
_atom_site_fract_x
_atom_site_fract_y
_atom_site_fract_z
_atom_site_occupancy
Ni1 Ni 0.000 0.000 0.000 1
Te1 Te 0.000 0.000 0.618 1
Te2 Te 0.500 0.500 0.154 1
W1 W 0.500 0.500 0.809 1
# Polymorph energy (0 for the lowest one) (kJ/mol of formula units): 84
# Magnetization (μB per cell): 0.0
# E (eV/atom): -6.03

No. 9
# NiTeW2 PBE-GGA relaxed
data_NiTeW2
_symmetry_space_group_name_H-M 'C 1 2/m 1'
_symmetry_Int_Tables_number 12
_cell_length_a 9.076
_cell_length_b 3.197
_cell_length_c 4.676
_cell_angle_alpha 90.00
_cell_angle_beta 98.99
_cell_angle_gamma 90.00
loop_
_symmetry_equiv_pos_as_xyz
'x,y,z'
'-x,-y,-z'
'-x,y,-z'
'x,-y,z'
'x+1/2,y+1/2,z'
'-x+1/2,-y+1/2,-z'
'-x+1/2,y+1/2,-z'
'x+1/2,-y+1/2,z'
loop_
_atom_site_label
_atom_site_type_symbol
_atom_site_fract_x
_atom_site_fract_y
_atom_site_fract_z
_atom_site_occupancy
Ni1 Ni 0.000 0.000 0.000 1
Te1 Te 0.000 0.500 0.500 1
W1 W 0.241 0.500 0.211 1
# Magnetization (μB per cell): 0.0
# E (eV/atom): -8.21

No. 10
# NiTe2W PBE-GGA relaxed
data_NiTe2W
_symmetry_space_group_name_H-M 'I -4 m 2'
_symmetry_Int_Tables_number 119
_symmetry_space_group_name_Hall 'I -4 -2'
_cell_length_a 3.980
_cell_length_b 3.980
_cell_length_c 9.673
_cell_angle_alpha 90.00
_cell_angle_beta 90.00
_cell_angle_gamma 90.00
loop_
_atom_site_label
_atom_site_type_symbol
_atom_site_fract_x
_atom_site_fract_y
_atom_site_fract_z
_atom_site_occupancy
Ni1 Ni 0.000 0.000 0.000 1
Te1 Te 0.000 0.000 0.500 1
Te2 Te 0.000 0.500 0.750 1
W1 W 0.000 0.500 0.250 1
# Polymorph energy (0 for the lowest one) (kJ/mol of formula units): 321
# Magnetization (μB per cell): 2.0
# E (eV/atom): -5.42

No. 11
# NiTe2W PBE-GGA relaxed
data_NiTe2W
_symmetry_space_group_name_H-M 'F m -3 m'
_symmetry_Int_Tables_number 225
_symmetry_space_group_name_Hall '-F 4 2 3'
_cell_length_a 6.696
_cell_length_b 6.696
_cell_length_c 6.696
_cell_angle_alpha 90.00
_cell_angle_beta 90.00
_cell_angle_gamma 90.00
loop_
_atom_site_label
_atom_site_type_symbol
_atom_site_fract_x
_atom_site_fract_y
_atom_site_fract_z
_atom_site_occupancy
Ni1 Ni 0.000 0.000 0.000 1
Te1 Te 0.250 0.250 0.250 1
W1 W 0.000 0.000 0.500 1
# Polymorph energy (0 for the lowest one) (kJ/mol of formula units): 229
# Magnetization (μB per cell): 6.2
# E (eV/atom): -5.66

No. 12
# NiTe2W PBE-GGA relaxed
data_NiTe2W
_symmetry_space_group_name_H-M 'R 3 m'
_symmetry_Int_Tables_number 160
_symmetry_space_group_name_Hall 'R 3 -2"'
_cell_length_a 3.9133
_cell_length_b 3.9133
_cell_length_c 22.0150
_cell_angle_alpha 90.00
_cell_angle_beta 90.00
_cell_angle_gamma 120.00
loop_
_atom_site_label
_atom_site_type_symbol
_atom_site_fract_x
_atom_site_fract_y
_atom_site_fract_z
_atom_site_occupancy
Ni1 Ni 0.0000 0.0000 0.0000 1
Te1 Te 0.0000 0.0000 0.2785 1
Te2 Te 0.0000 0.0000 0.4513 1
W1 W 0.0000 0.0000 0.7043 1
# Polymorph energy (0 for the lowest one) (kJ/mol of formula units): 0
# Magnetization (μB per cell): 0.0
# E (eV/atom): -6.25